The following is a GGA-PBE calculation of a geometry-optimized Tb3Hg5Bi structure, from Alexandria.

Values from the calculation:
* E_tot: -46.0 eV/cell
* calculated density: 12.15 g/cm³
* space-group type: P6_3/mcm (193)

```
Tb3Hg5Bi
1.0
9.075 0.000 0.000
-4.538 7.859 0.000
0.000 0.000 6.473
Tb Hg Bi
6 10 2
Cartesian
-1.487 2.575 1.618
-3.051 5.284 4.855
2.973 0.000 1.618
1.487 2.575 4.855
6.102 0.000 4.855
3.051 5.284 1.618
-1.576 2.729 4.855
-2.962 5.130 1.618
0.000 5.240 0.000
0.000 5.240 3.236
3.151 0.000 4.855
1.576 2.729 1.618
5.924 0.000 1.618
2.962 5.130 4.855
4.538 2.620 0.000
4.538 2.620 3.236
0.000 0.000 0.000
0.000 0.000 3.236
```

The following is a GGA-PBE calculation of a geometry-optimized RbBa2CdPt structure, from Alexandria.

Values from the calculation:
* E_tot: -13.3 eV/cell
* calculated density: 5.09 g/cm³
* space-group type: P4/mmm (123)

```
RbBa2CdPt
1.0
6.262 0.000 0.000
0.000 6.262 0.000
0.000 0.000 5.554
Rb Ba Cd Pt
1 2 1 1
Cartesian
0.000 0.000 0.000
0.000 3.131 2.777
3.131 0.000 2.777
3.131 3.131 0.000
3.131 3.131 2.777
```

The following is a GGA-PBE calculation of a geometry-optimized RbTaSCl2 structure, from Alexandria.

Values from the calculation:
* E_tot: -14.9 eV/cell
* calculated density: 3.37 g/cm³
* space-group type: P4/mmm (123)
* formation energy (no corrections): 1143 meV/atom

```
RbTaSCl2
1.0
5.640 0.000 0.000
0.000 5.640 0.000
0.000 0.000 5.728
Rb Ta S Cl
1 1 1 2
Cartesian
0.000 0.000 0.000
2.820 2.820 2.864
0.000 0.000 2.864
0.000 2.820 0.000
2.820 0.000 0.000
```

The following is a GGA-PBE calculation of a geometry-optimized Rb3ThTe3 structure, from Alexandria.

Values from the calculation:
* E_tot: -53.1 eV/cell
* calculated density: 4.01 g/cm³
* space-group type: C2/m (12)
* formation energy (no corrections): -974 meV/atom

```
Rb3ThTe3
1.0
5.099 -7.845 0.000
5.099 7.845 0.000
-1.842 0.000 9.011
Rb Th Te
6 2 6
Cartesian
5.099 5.134 0.000
4.178 3.721 4.506
3.752 0.000 1.264
4.603 0.000 7.747
4.178 -3.721 4.506
5.099 -5.134 0.000
0.622 0.000 5.688
7.733 0.000 3.323
0.510 0.000 2.587
1.679 2.454 7.041
1.679 -2.454 7.041
6.676 2.454 1.970
6.676 -2.454 1.970
7.845 0.000 6.424
```

The following is a GGA-PBE calculation of a geometry-optimized Zr2TaZnH structure, from Alexandria.

Values from the calculation:
* E_tot: -34.3 eV/cell
* calculated density: 8.91 g/cm³
* space-group type: P4/mmm (123)

```
Zr2TaZnH
1.0
4.429 0.000 0.000
0.000 4.429 0.000
0.000 0.000 4.085
Zr Ta Zn H
2 1 1 1
Cartesian
0.000 2.215 0.000
2.215 0.000 0.000
0.000 0.000 2.042
2.215 2.215 2.042
0.000 0.000 0.000
```

The following is a GGA-PBE calculation of a geometry-optimized TlAgOs2 structure, from Alexandria.

Values from the calculation:
* E_tot: -23.6 eV/cell
* calculated density: 17.00 g/cm³
* space-group type: I-4m2 (119)

```
TlAgOs2
1.0
-2.126 2.126 3.741
2.126 -2.126 3.741
2.126 2.126 -3.741
Tl Ag Os
1 1 2
Cartesian
0.000 0.000 0.000
2.126 0.000 1.870
0.000 0.000 3.741
0.000 2.126 1.870
```

The following is a GGA-PBE calculation of a geometry-optimized Tb3Au structure, from Alexandria.

Values from the calculation:
* E_tot: -18.1 eV/cell
* calculated density: 10.53 g/cm³
* space-group type: Pm-3m (221)

```
Tb3Au
1.0
4.737 0.000 0.000
0.000 4.737 0.000
0.000 0.000 4.737
Tb Au
3 1
Cartesian
0.000 0.000 2.368
0.000 2.368 0.000
2.368 0.000 0.000
2.368 2.368 2.368
```

The following is a GGA-PBE calculation of a geometry-optimized Ti4In2CoNi structure, from Alexandria.

Values from the calculation:
* E_tot: -50.6 eV/cell
* calculated density: 6.75 g/cm³
* space-group type: R-3m (166)

```
Ti4In2CoNi
1.0
2.271 1.311 7.411
-2.271 1.311 7.411
0.000 -2.623 7.411
Ti In Co Ni
4 2 1 1
Cartesian
0.000 0.000 2.782
0.000 0.000 8.342
0.000 0.000 13.892
0.000 0.000 19.453
0.000 0.000 5.554
0.000 0.000 16.680
0.000 0.000 11.117
0.000 0.000 0.000
```

The following is a GGA-PBE calculation of a geometry-optimized BeAg2Pb structure, from Alexandria.

Values from the calculation:
* E_tot: -11.8 eV/cell
* calculated density: 9.10 g/cm³
* space-group type: Pm (6)

```
BeAg2Pb
1.0
3.242 0.000 0.000
0.000 4.373 0.000
-1.119 0.000 5.556
Be Ag Pb
1 2 1
Cartesian
0.000 0.000 0.000
0.440 0.000 3.584
2.052 2.186 4.422
1.551 2.186 1.451
```

The following is a GGA-PBE calculation of a geometry-optimized Ce12PuGa6 structure, from Alexandria.

Values from the calculation:
* E_tot: -108.1 eV/cell
* calculated density: 7.93 g/cm³
* space-group type: R-3 (148)

```
Ce12PuGa6
1.0
6.981 4.031 2.907
-6.981 4.031 2.907
0.000 -8.061 2.907
Ce Pu Ga
12 1 6
Cartesian
-5.579 1.047 3.713
-3.696 -4.308 5.009
-3.154 -0.191 3.556
1.883 -5.355 3.713
-1.411 -2.827 5.167
1.742 -2.635 3.556
-1.742 2.635 5.167
1.411 2.827 3.556
-1.883 5.355 5.009
3.154 0.191 5.167
3.696 4.308 3.713
5.579 -1.047 5.009
0.000 0.000 0.000
-1.191 -1.975 2.123
-1.115 2.019 2.123
2.306 -0.044 2.123
-2.306 0.044 6.600
1.115 -2.019 6.600
1.191 1.975 6.600
```

The following is a GGA-PBE calculation of a geometry-optimized Y3P2O structure, from Alexandria.

Values from the calculation:
* E_tot: -93.9 eV/cell
* calculated density: 4.71 g/cm³
* space-group type: C2/c (15)
* formation energy (no corrections): -1960 meV/atom

```
Y3P2O
1.0
6.024 -2.785 0.000
6.024 2.785 0.000
-2.412 0.000 7.242
Y P O
6 4 2
Cartesian
4.215 2.547 5.431
3.144 0.006 3.059
1.938 -0.006 6.679
7.698 0.006 0.562
6.492 -0.006 4.183
5.421 -2.547 1.810
1.853 0.002 0.619
0.647 -0.002 4.239
8.989 0.002 3.002
7.783 -0.002 6.623
4.215 0.228 5.431
5.421 -0.228 1.810
```

The following is a GGA-PBE calculation of a geometry-optimized InCuH6Ir2 structure, from Alexandria.

Values from the calculation:
* E_tot: -86.7 eV/cell
* calculated density: 10.67 g/cm³
* space-group type: C2/c (15)

```
InCuH6Ir2
1.0
3.697 -4.345 0.000
3.697 4.345 0.000
-0.802 0.000 5.513
In Cu H Ir
2 2 12 4
Cartesian
3.096 2.960 4.135
3.497 -2.960 1.378
3.497 0.876 1.378
3.096 -0.876 4.135
2.169 2.036 1.918
1.256 0.347 3.153
1.656 -0.347 0.396
2.435 0.687 4.990
4.826 2.036 0.838
3.757 0.687 3.279
2.836 -0.687 2.234
1.768 -2.036 4.675
4.158 -0.687 0.523
4.937 0.347 5.116
5.338 -0.347 2.360
4.425 -2.036 3.594
0.861 1.065 4.636
1.262 -1.065 1.880
5.331 1.065 3.633
5.732 -1.065 0.877
```

The following is a GGA-PBE calculation of a geometry-optimized TiMo3Pt structure, from Alexandria.

Values from the calculation:
* E_tot: -38.2 eV/cell
* calculated density: 8.17 g/cm³
* space-group type: Pm-3m (221)

```
TiMo3Pt
1.0
4.760 0.000 0.000
0.000 4.760 0.000
0.000 0.000 4.760
Ti Mo Pt
1 3 1
Cartesian
0.000 0.000 0.000
0.000 2.380 2.380
2.380 0.000 2.380
2.380 2.380 0.000
2.380 2.380 2.380
```

The following is a GGA-PBE calculation of a geometry-optimized CuIr2Cl structure, from Alexandria.

Values from the calculation:
* E_tot: -21.2 eV/cell
* calculated density: 13.59 g/cm³
* space-group type: Cmmm (65)
* formation energy (no corrections): 613 meV/atom

```
CuIr2Cl
1.0
1.369 -2.482 0.000
1.369 2.482 0.000
0.000 0.000 8.692
Cu Ir Cl
1 2 1
Cartesian
0.000 0.000 0.000
1.369 0.000 2.150
1.369 0.000 6.543
0.000 0.000 4.346
```

The following is a GGA-PBE calculation of a geometry-optimized GaSnW3 structure, from Alexandria.

Values from the calculation:
* E_tot: -32.3 eV/cell
* calculated density: 10.47 g/cm³
* space-group type: Pm-3m (221)

```
GaSnW3
1.0
4.896 0.000 0.000
0.000 4.896 0.000
0.000 0.000 4.896
Ga Sn W
1 1 3
Cartesian
0.000 0.000 0.000
2.448 2.448 2.448
0.000 2.448 2.448
2.448 0.000 2.448
2.448 2.448 0.000
```

The following is a GGA-PBE calculation of a geometry-optimized BaTmO2F structure, from Alexandria.

Values from the calculation:
* E_tot: -35.2 eV/cell
* calculated density: 6.88 g/cm³
* space-group type: P4mm (99)
* formation energy (no corrections): -3405 meV/atom

```
BaTmO2F
1.0
4.388 0.000 0.000
0.000 4.388 0.000
0.000 0.000 4.477
Ba Tm O F
1 1 2 1
Cartesian
0.000 0.000 0.000
2.194 2.194 1.857
0.000 2.194 1.589
2.194 0.000 1.589
2.194 2.194 4.030
```

The following is a GGA-PBE calculation of a geometry-optimized Pm3YIr8 structure, from Alexandria.

Values from the calculation:
* E_tot: -100.5 eV/cell
* calculated density: 15.30 g/cm³
* space-group type: R3m (160)

```
Pm3YIr8
1.0
2.706 1.562 8.827
-2.706 1.562 8.827
0.000 -3.124 8.827
Pm Y Ir
3 1 8
Cartesian
0.000 0.000 0.000
0.000 0.000 3.312
0.000 0.000 13.253
0.000 0.000 16.559
-1.355 -0.782 10.473
0.000 -1.563 6.087
-1.354 0.782 6.087
0.000 0.000 8.278
1.355 -0.782 10.473
0.000 1.565 10.473
1.354 0.782 6.087
0.000 0.000 21.520
```

The following is a GGA-PBE calculation of a geometry-optimized AgRh2Se structure, from Alexandria.

Values from the calculation:
* E_tot: -20.4 eV/cell
* calculated density: 9.68 g/cm³
* space-group type: Pm (6)
* formation energy (no corrections): 163 meV/atom

```
AgRh2Se
1.0
3.000 0.000 0.000
0.000 4.527 0.000
-1.254 0.000 4.959
Ag Rh Se
1 2 1
Cartesian
0.000 0.000 0.000
0.283 0.000 2.595
1.687 2.264 1.415
0.184 2.264 3.383
```

The following is a GGA-PBE calculation of a geometry-optimized Sr2DyAgSe4 structure, from Alexandria.

Values from the calculation:
* E_tot: -37.4 eV/cell
* calculated density: 5.71 g/cm³
* space-group type: P2/m (10)
* formation energy (no corrections): -1575 meV/atom

```
Sr2DyAgSe4
1.0
7.360 0.000 0.000
0.000 4.290 0.000
-2.565 0.000 7.014
Sr Dy Ag Se
2 1 1 4
Cartesian
0.000 0.000 0.000
-1.283 2.145 3.507
2.397 0.000 3.507
3.680 2.145 0.000
1.287 2.145 1.868
0.093 0.000 5.266
4.702 0.000 1.748
3.507 2.145 5.146
```

The following is a GGA-PBE calculation of a geometry-optimized Na2LiWSe4 structure, from Alexandria.

Values from the calculation:
* E_tot: -37.0 eV/cell
* calculated density: 3.89 g/cm³
* space-group type: I-4 (82)
* formation energy (no corrections): -696 meV/atom

```
Na2LiWSe4
1.0
-3.284 3.284 5.471
3.284 -3.284 5.471
3.284 3.284 -5.471
Na Li W Se
2 1 1 4
Cartesian
0.000 0.000 0.000
0.000 3.284 2.735
0.000 0.000 5.471
3.284 0.000 2.735
1.526 2.026 -1.409
4.542 1.526 1.409
1.758 1.258 4.062
-1.258 1.758 6.879
```